[1]
Below is Cs2CoP4O12 after structural relaxation, with properties calculated at the GGA-PBEsol level.

Results
size of the total moment	3.00	μB/f.u.
symmetry	P2_1/c
formation energy (no corrections)	-2074	meV/atom

Cell lengths 8.4756, 12.1624, 12.5622 Å; angles 90.00, 108.02, 90.00 degrees
Each line ends with the local moment (μB).
Sites, in units of the cell vectors:
Cs (0.2768, 0.4382, 0.0242)  0.00
Cs (0.2448, 0.1088, 0.8225)  0.00
Cs (0.7768, 0.0618, 0.5242)  0.00
Cs (0.2232, 0.9382, 0.4758)  0.00
Cs (0.7448, 0.3912, 0.3225)  0.00
Cs (0.7232, 0.5618, 0.9758)  0.00
Cs (0.2552, 0.6088, 0.6775)  0.00
Cs (0.7552, 0.8912, 0.1775)  0.00
Co (0.7269, 0.7327, 0.6900)  2.63
Co (0.2731, 0.2673, 0.3100)  2.63
Co (0.2269, 0.7673, 0.1900)  2.63
Co (0.7731, 0.2327, 0.8100)  2.63
P (0.4839, 0.8543, 0.8081)  0.00
P (0.2094, 0.0424, 0.1849)  0.01
P (0.5016, 0.2735, 0.5704)  0.01
P (0.7906, 0.9576, 0.8151)  0.01
P (0.5161, 0.1457, 0.1919)  0.00
P (0.0161, 0.3543, 0.6919)  0.00
P (0.0016, 0.2265, 0.0704)  0.01
P (0.1517, 0.2673, 0.5235)  0.00
P (0.7094, 0.4576, 0.6849)  0.01
P (0.2906, 0.5424, 0.3151)  0.01
P (0.4984, 0.7265, 0.4296)  0.01
P (0.9984, 0.7735, 0.9296)  0.01
P (0.3483, 0.7673, 0.9765)  0.00
P (0.9839, 0.6457, 0.3081)  0.00
P (0.6517, 0.2327, 0.0235)  0.00
P (0.8483, 0.7327, 0.4765)  0.00
O (0.3945, 0.6142, 0.4227)  0.00
O (0.8328, 0.1789, 0.0864)  0.00
O (0.9251, 0.2519, 0.7071)  0.03
O (0.6672, 0.6789, 0.4136)  0.00
O (0.7850, 0.8980, 0.7090)  0.04
O (0.1766, 0.3849, 0.7757)  0.00
O (0.1441, 0.9278, 0.1698)  0.04
O (0.8234, 0.6151, 0.2243)  0.00
O (0.2150, 0.1020, 0.2910)  0.04
O (0.6055, 0.3858, 0.5773)  0.00
O (0.4674, 0.2278, 0.4540)  0.04
O (0.6093, 0.9587, 0.8312)  0.00
O (0.9142, 0.6973, 0.8351)  0.04
O (0.0326, 0.7278, 0.0460)  0.04
O (0.9636, 0.6486, 0.4332)  0.01
O (0.4636, 0.8514, 0.9332)  0.01
O (0.3907, 0.0413, 0.1688)  0.00
O (0.5326, 0.7722, 0.5460)  0.04
O (0.7150, 0.3980, 0.7910)  0.04
O (0.6414, 0.3458, 0.0671)  0.00
O (0.2850, 0.6020, 0.2090)  0.04
O (0.8945, 0.8858, 0.9227)  0.00
O (0.1055, 0.1142, 0.0773)  0.00
O (0.3234, 0.8849, 0.7243)  0.00
O (0.8918, 0.7107, 0.5999)  0.04
O (0.6441, 0.5722, 0.6698)  0.04
O (0.1672, 0.8211, 0.9136)  0.00
O (0.5749, 0.7519, 0.7929)  0.03
O (0.3328, 0.3211, 0.5864)  0.00
O (0.6766, 0.1151, 0.2757)  0.00
O (0.8907, 0.4587, 0.6688)  0.00
O (0.1082, 0.2893, 0.4001)  0.04
O (0.0749, 0.7481, 0.2929)  0.03
O (0.8559, 0.0722, 0.8302)  0.04
O (0.4142, 0.8027, 0.3351)  0.04
O (0.0858, 0.3027, 0.1649)  0.04
O (0.3559, 0.4278, 0.3302)  0.04
O (0.3586, 0.6542, 0.9329)  0.00
O (0.4251, 0.2481, 0.2071)  0.03
O (0.5364, 0.1486, 0.0668)  0.01
O (0.1093, 0.5413, 0.3312)  0.00
O (0.6082, 0.2107, 0.9001)  0.04
O (0.5858, 0.1973, 0.6649)  0.04
O (0.0364, 0.3514, 0.5668)  0.01
O (0.1414, 0.1542, 0.5671)  0.00
O (0.9674, 0.2722, 0.9540)  0.04
O (0.3918, 0.7893, 0.0999)  0.04
O (0.8586, 0.8458, 0.4329)  0.00

[2]
Below is Ni2IrPb2 after structural relaxation, with properties calculated at the GGA-PBEsol level.

Results
relative energy among the computed polymorphs	228	meV per atom
size of the total moment	0.00	μB/f.u.
symmetry	I4/mmm

Cell lengths 4.9295, 5.0616, 4.9295 Å; angles 60.86, 90.00, 119.14 degrees
Sites, in units of the cell vectors:
Pb (0.7500, 0.5000, 0.7500)
Pb (0.2500, 0.5000, 0.2500)
Ni (0.6509, 0.3017, 0.3491)
Ni (0.3491, 0.6983, 0.6509)
Ir (0.0000, 0.0000, 0.0000)

[3]
Below is Tl2BiSb2 after structural relaxation, with properties calculated at the GGA-PBEsol level.

Results
relative energy among the computed polymorphs	106	meV per atom
size of the total moment	0.00	μB/f.u.
symmetry	I4/mmm
formation energy (no corrections)	177	meV/atom

Cell lengths 4.2959, 4.2959, 8.6334 Å; angles 104.41, 104.41, 90.00 degrees
Sites, in units of the cell vectors:
Sb (0.4082, 0.4082, 0.8164)
Sb (0.5918, 0.5918, 0.1836)
Tl (0.2500, 0.7500, 0.5000)
Tl (0.7500, 0.2500, 0.5000)
Bi (0.0000, 0.0000, 0.0000)

[4]
Below is CdHgO2 after structural relaxation, with properties calculated at the GGA-PBEsol level.

Results
relative energy among the computed polymorphs	111	meV per atom
size of the total moment	0.00	μB/f.u.
symmetry	I-42d
formation energy (no corrections)	-565	meV/atom

Cell lengths 5.1477, 5.1477, 6.2908 Å; angles 114.15, 114.15, 90.00 degrees
Sites, in units of the cell vectors:
Hg (0.2500, 0.7500, 0.5000)
Hg (0.0000, 0.0000, 0.0000)
O (0.3870, 0.8750, 0.2500)
O (0.8630, 0.3750, 0.2500)
O (0.1250, 0.1370, 0.7500)
O (0.6250, 0.6130, 0.7500)
Cd (0.7500, 0.2500, 0.5000)
Cd (0.5000, 0.5000, 0.0000)

[5]
Below is KMgOs after structural relaxation, with properties calculated at the GGA-PBEsol level.

Results
size of the total moment	1.13	μB/f.u.
symmetry	F-43m
energy	-3.2382	eV per atom

Cell lengths 4.7343, 4.7343, 4.7343 Å; angles 60.00, 60.00, 60.00 degrees
Each line ends with the local moment (μB).
Sites, in units of the cell vectors:
K (0.5000, 0.5000, 0.5000)  -0.01
Mg (0.2500, 0.2500, 0.2500)  -0.02
Os (0.0000, 0.0000, 0.0000)  1.13

[6]
Below is LiBe3Cl after structural relaxation, with properties calculated at the GGA-PBEsol level.

Results
size of the total moment	0.00	μB/f.u.
symmetry	Pm-3m
formation energy (no corrections)	1256	meV/atom

Cell lengths 4.2854, 4.2854, 4.2854 Å; angles 90.00, 90.00, 90.00 degrees
Sites, in units of the cell vectors:
Be (0.0000, 0.5000, 0.0000)
Be (0.0000, 0.0000, 0.5000)
Be (0.5000, 0.0000, 0.0000)
Cl (0.5000, 0.5000, 0.5000)
Li (0.0000, 0.0000, 0.0000)

[7]
Below is U3Bi4Rh3 after structural relaxation, with properties calculated at the GGA-PBEsol level.

Results
size of the total moment	3.28	μB/f.u.
symmetry	I-43d
energy	-7.9723	eV per atom

Cell lengths 8.3348, 8.3348, 8.3348 Å; angles 109.47, 109.47, 109.47 degrees
Each line ends with the local moment (μB).
Sites, in units of the cell vectors:
U (0.8750, 0.1250, 0.7500)  1.35
U (0.6250, 0.3750, 0.2500)  1.35
U (0.1250, 0.2500, 0.3750)  1.35
U (0.3750, 0.7500, 0.1250)  1.35
U (0.7500, 0.6250, 0.8750)  1.35
U (0.2500, 0.8750, 0.6250)  1.35
Bi (0.6793, 0.0000, 0.0000)  -0.07
Bi (0.8207, 0.8207, 0.3207)  -0.07
Bi (0.0000, 0.5000, 0.1793)  -0.07
Bi (0.1793, 0.0000, 0.0000)  -0.07
Bi (0.5000, 0.6793, 0.5000)  -0.07
Bi (0.3207, 0.3207, 0.8207)  -0.07
Bi (0.5000, 0.1793, 0.5000)  -0.07
Bi (0.0000, 0.5000, 0.6793)  -0.07
Rh (0.3750, 0.6250, 0.7500)  -0.20
Rh (0.1250, 0.8750, 0.2500)  -0.20
Rh (0.6250, 0.2500, 0.8750)  -0.20
Rh (0.8750, 0.7500, 0.6250)  -0.20
Rh (0.7500, 0.1250, 0.3750)  -0.20
Rh (0.2500, 0.3750, 0.1250)  -0.20

[8]
Below is ZrCoSbI2 after structural relaxation, with properties calculated at the GGA-PBEsol level.

Results
size of the total moment	2.59	μB/f.u.
symmetry	P4/mmm
formation energy (no corrections)	742	meV/atom

Cell lengths 5.4959, 5.4959, 5.7009 Å; angles 90.00, 90.00, 90.00 degrees
Each line ends with the local moment (μB).
Sites, in units of the cell vectors:
I (0.0000, 0.5000, 0.0000)  0.00
I (0.5000, 0.0000, 0.0000)  0.00
Sb (0.0000, 0.0000, 0.5000)  -0.05
Co (0.5000, 0.5000, 0.5000)  2.37
Zr (0.0000, 0.0000, 0.0000)  0.08

[9]
Below is MnHg2Te3 after structural relaxation, with properties calculated at the GGA-PBEsol level.

Results
size of the total moment	5.01	μB/f.u.
symmetry	P3m1
formation energy (no corrections)	-43	meV/atom

Cell lengths 4.5569, 4.5569, 10.9751 Å; angles 90.00, 90.00, 120.00 degrees
Each line ends with the local moment (μB).
Sites, in units of the cell vectors:
Te (0.0000, 0.0000, 0.7489)  0.04
Te (0.3333, 0.6667, 0.4027)  0.04
Te (0.6667, 0.3333, 0.0953)  0.03
Hg (0.0000, 0.0000, 0.0042)  0.03
Hg (0.3333, 0.6667, 0.6601)  0.02
Mn (0.6667, 0.3333, 0.3388)  4.23

[10]
Below is FeAg2SbCl after structural relaxation, with properties calculated at the GGA-PBEsol level.

Results
size of the total moment	4.01	μB/f.u.
symmetry	P4/mmm
formation energy (no corrections)	646	meV/atom

Cell lengths 4.9682, 5.1463, 5.1463 Å; angles 90.00, 90.00, 90.00 degrees
Each line ends with the local moment (μB).
Sites, in units of the cell vectors:
Sb (0.0000, 0.0000, 0.0000)  0.05
Fe (0.5000, 0.0000, 0.0000)  3.30
Ag (0.0000, 0.0000, 0.5000)  0.07
Ag (0.0000, 0.5000, 0.0000)  0.07
Cl (0.5000, 0.5000, 0.5000)  0.14

[11]
Below is Ba3CaSb after structural relaxation, with properties calculated at the GGA-PBEsol level.

Results
size of the total moment	0.00	μB/f.u.
symmetry	Pm-3m
formation energy (no corrections)	-300	meV/atom

Cell lengths 6.6567, 6.6567, 6.6567 Å; angles 90.00, 90.00, 90.00 degrees
Sites, in units of the cell vectors:
Sb (0.0000, 0.0000, 0.0000)
Ca (0.5000, 0.5000, 0.5000)
Ba (0.0000, 0.5000, 0.0000)
Ba (0.0000, 0.0000, 0.5000)
Ba (0.5000, 0.0000, 0.0000)

[12]
Below is Hf3ZrO after structural relaxation, with properties calculated at the GGA-PBEsol level.

Results
size of the total moment	0.00	μB/f.u.
symmetry	Pm-3m
formation energy (no corrections)	-1120	meV/atom

Cell lengths 4.4558, 4.4558, 4.4558 Å; angles 90.00, 90.00, 90.00 degrees
Sites, in units of the cell vectors:
Hf (0.0000, 0.5000, 0.0000)
Hf (0.0000, 0.0000, 0.5000)
Hf (0.5000, 0.0000, 0.0000)
Zr (0.5000, 0.5000, 0.5000)
O (0.0000, 0.0000, 0.0000)

[13]
Below is TaZn2 after structural relaxation, with properties calculated at the GGA-PBEsol level.

Results
size of the total moment	0.00	μB/f.u.
symmetry	I4_1/amd
energy	-5.3013	eV per atom

Cell lengths 3.8529, 3.8529, 12.3859 Å; angles 98.95, 98.95, 90.00 degrees
Sites, in units of the cell vectors:
Ta (0.9178, 0.9178, 0.8356)
Ta (0.0822, 0.0822, 0.1644)
Ta (0.1678, 0.6678, 0.3356)
Ta (0.3322, 0.8322, 0.6644)
Zn (0.7493, 0.7493, 0.4985)
Zn (0.2507, 0.2507, 0.5015)
Zn (0.9993, 0.4993, 0.9985)
Zn (0.5007, 0.0007, 0.0015)
Zn (0.5837, 0.5837, 0.1673)
Zn (0.4163, 0.4163, 0.8327)
Zn (0.8337, 0.3337, 0.6673)
Zn (0.6663, 0.1663, 0.3327)

[14]
Below is Sc2TiP2 after structural relaxation, with properties calculated at the GGA-PBEsol level.

Results
size of the total moment	0.00	μB/f.u.
symmetry	P4/mbm
energy	-7.8727	eV per atom

Cell lengths 3.6532, 6.6559, 6.6559 Å; angles 90.00, 90.00, 90.00 degrees
Sites, in units of the cell vectors:
Sc (0.5000, 0.1638, 0.6638)
Sc (0.5000, 0.6638, 0.8362)
Sc (0.5000, 0.8362, 0.3362)
Sc (0.5000, 0.3362, 0.1638)
P (0.0000, 0.3578, 0.8578)
P (0.0000, 0.8578, 0.6422)
P (0.0000, 0.6422, 0.1422)
P (0.0000, 0.1422, 0.3578)
Ti (0.0000, 0.0000, 0.0000)
Ti (0.0000, 0.5000, 0.5000)

[15]
Below is CrCo3 after structural relaxation, with properties calculated at the GGA-PBEsol level.

Results
relative energy among the computed polymorphs	63	meV per atom
size of the total moment	1.21	μB/f.u.
symmetry	Pmm2

Cell lengths 2.4493, 3.9011, 4.2504 Å; angles 90.00, 90.00, 90.00 degrees
Each line ends with the local moment (μB).
Sites, in units of the cell vectors:
Cr (0.0000, 0.5000, 0.3288)  -0.41
Co (0.0000, 0.0000, 0.9985)  0.73
Co (0.5000, 0.0000, 0.5038)  0.36
Co (0.5000, 0.5000, 0.8357)  0.54

[16]
Below is Sc2SbPd2 after structural relaxation, with properties calculated at the GGA-PBEsol level.

Results
size of the total moment	0.00	μB/f.u.
symmetry	I4/mmm
formation energy (no corrections)	-637	meV/atom

Cell lengths 3.7853, 3.7853, 7.5106 Å; angles 104.60, 104.60, 90.00 degrees
Sites, in units of the cell vectors:
Sc (0.3870, 0.3870, 0.7741)
Sc (0.6130, 0.6130, 0.2259)
Sb (0.0000, 0.0000, 0.0000)
Pd (0.2500, 0.7500, 0.5000)
Pd (0.7500, 0.2500, 0.5000)

[17]
Below is K2GaP2 after structural relaxation, with properties calculated at the GGA-PBEsol level.

Results
size of the total moment	0.00	μB/f.u.
symmetry	P2_1/c
energy	-3.8820	eV per atom

Cell lengths 8.5778, 10.0799, 13.9211 Å; angles 90.00, 90.00, 109.59 degrees
Sites, in units of the cell vectors:
K (0.5539, 0.0657, 0.1165)
K (0.0539, 0.5657, 0.3835)
K (0.4461, 0.9343, 0.8835)
K (0.8128, 0.0269, 0.6126)
K (0.5246, 0.5385, 0.6280)
K (0.1872, 0.9731, 0.3874)
K (0.3128, 0.5269, 0.8874)
K (0.8244, 0.4006, 0.8666)
K (0.6756, 0.0994, 0.3666)
K (0.1756, 0.5994, 0.1334)
K (0.3244, 0.9006, 0.6334)
K (0.0246, 0.0385, 0.8720)
K (0.4754, 0.4615, 0.3720)
K (0.9754, 0.9615, 0.1280)
K (0.9461, 0.4343, 0.6165)
K (0.6872, 0.4731, 0.1126)
Ga (0.2346, 0.2408, 0.5590)
Ga (0.2654, 0.2592, 0.0590)
Ga (0.7654, 0.7592, 0.4410)
Ga (0.3924, 0.2471, 0.7841)
Ga (0.1076, 0.2529, 0.2841)
Ga (0.6076, 0.7529, 0.2159)
Ga (0.8924, 0.7471, 0.7159)
Ga (0.7346, 0.7408, 0.9410)
P (0.4898, 0.2212, 0.5363)
P (0.4125, 0.7809, 0.3173)
P (0.0875, 0.7191, 0.8173)
P (0.1643, 0.2749, 0.7145)
P (0.3357, 0.2251, 0.2145)
P (0.8357, 0.7251, 0.2855)
P (0.6643, 0.7749, 0.7855)
P (0.9542, 0.7456, 0.5546)
P (0.5458, 0.7544, 0.0546)
P (0.0458, 0.2544, 0.4454)
P (0.5875, 0.2191, 0.6827)
P (0.4542, 0.2456, 0.9454)
P (0.9898, 0.7212, 0.9637)
P (0.5102, 0.7788, 0.4637)
P (0.0102, 0.2788, 0.0363)
P (0.9125, 0.2809, 0.1827)

[18]
Below is MnIrBr2 after structural relaxation, with properties calculated at the GGA-PBEsol level.

Results
relative energy among the computed polymorphs	617	meV per atom
size of the total moment	3.44	μB/f.u.
symmetry	Cmmm
formation energy (no corrections)	798	meV/atom

Cell lengths 3.0610, 3.2224, 8.3893 Å; angles 90.00, 90.00, 118.36 degrees
Each line ends with the local moment (μB).
Sites, in units of the cell vectors:
Br (0.0000, 0.0000, 0.7634)  0.02
Br (0.0000, 0.0000, 0.2366)  0.02
Ir (0.5000, 0.0000, 0.5000)  -0.46
Mn (0.5000, 0.0000, 0.0000)  3.65

[19]
Below is InCu2Te after structural relaxation, with properties calculated at the GGA-PBEsol level.

Results
relative energy among the computed polymorphs	65	meV per atom
size of the total moment	0.00	μB/f.u.
symmetry	Imm2
formation energy (no corrections)	135	meV/atom

Cell lengths 3.5887, 3.6966, 6.5293 Å; angles 106.44, 105.95, 90.00 degrees
Sites, in units of the cell vectors:
Cu (0.9365, 0.9365, 0.8730)
Cu (0.8026, 0.3026, 0.6051)
In (0.5132, 0.5132, 0.0265)
Te (0.2477, 0.7477, 0.4954)

[20]
Below is Rb3AlN after structural relaxation, with properties calculated at the GGA-PBEsol level.

Results
size of the total moment	2.71	μB/f.u.
symmetry	Pm-3m
formation energy (no corrections)	1280	meV/atom

Cell lengths 6.8467, 6.8467, 6.8467 Å; angles 90.00, 90.00, 90.00 degrees
Each line ends with the local moment (μB).
Sites, in units of the cell vectors:
Al (0.0000, 0.0000, 0.0000)  0.05
Rb (0.0000, 0.5000, 0.0000)  0.01
Rb (0.0000, 0.0000, 0.5000)  0.01
Rb (0.5000, 0.0000, 0.0000)  0.01
N (0.5000, 0.5000, 0.5000)  1.55

[21]
Below is DyCuO3 after structural relaxation, with properties calculated at the GGA-PBEsol level.

Results
size of the total moment	0.00	μB/f.u.
symmetry	Pm-3m
formation energy (no corrections)	-1896	meV/atom

Cell lengths 3.7227, 3.7227, 3.7227 Å; angles 90.00, 90.00, 90.00 degrees
Sites, in units of the cell vectors:
O (0.5000, 0.5000, 0.0000)
O (0.5000, 0.0000, 0.5000)
O (0.0000, 0.5000, 0.5000)
Cu (0.5000, 0.5000, 0.5000)
Dy (0.0000, 0.0000, 0.0000)